Record 1
A relaxed structure of SrLi3Sm2Sn3, computed with GGA-PBE. Values from VASP.

```
&SYSTEM
  ibrav = 0, nat = 9, ntyp = 4
/
ATOMIC_SPECIES
Sr 87.62 Sr.upf
Li 6.94 Li.upf
Sm 150.36 Sm.upf
Sn 118.71 Sn.upf
ATOMIC_POSITIONS angstrom
Sr 0.000 0.000 0.000
Li 0.000 2.788 5.762
Li 2.414 1.394 2.322
Li 2.414 1.394 9.202
Sm 0.000 0.000 3.890
Sm 0.000 0.000 7.635
Sn 0.000 2.788 2.257
Sn 0.000 2.788 9.268
Sn 2.414 1.394 5.762
CELL_PARAMETERS angstrom
4.829 0.000 0.000
-2.414 4.182 0.000
0.000 0.000 11.525
```

Properties
The magnetic moment is 0.0 μB/f.u. The calculated volume is 233 Å³/f.u. Its symmetry is P-6m2, No. 187. The calculation puts the calculated total energy at -3.827 eV/atom.

***

Record 2
A relaxed structure of TbPu3N4, computed with GGA-PBE. Values from VASP.

```
&SYSTEM
  ibrav = 0, nat = 8, ntyp = 3
/
ATOMIC_SPECIES
Tb 158.93 Tb.upf
Pu 244.00 Pu.upf
N 14.01 N.upf
ATOMIC_POSITIONS angstrom
Tb 0.000 0.000 0.000
Pu 1.737 2.455 1.737
Pu 1.737 -2.455 1.737
Pu 3.474 0.000 0.000
N 3.474 2.421 0.000
N 1.782 0.000 1.737
N 5.166 0.000 1.737
N 3.474 -2.421 0.000
CELL_PARAMETERS angstrom
3.474 -4.910 0.000
3.474 4.910 0.000
0.000 0.000 3.473
```

Properties
The magnetic moment is 14.3 μB/f.u. The calculated volume is 118 Å³/f.u. Its symmetry is Cmmm, No. 65. The calculation puts the calculated total energy at -11.472 eV/atom.

***

Record 3
A relaxed structure of Na2TlH6Ir, computed with GGA-PBE. Values from VASP.

```
&SYSTEM
  ibrav = 0, nat = 10, ntyp = 4
/
ATOMIC_SPECIES
Na 22.99 Na.upf
Tl 204.38 Tl.upf
H 1.01 H.upf
Ir 192.22 Ir.upf
ATOMIC_POSITIONS angstrom
Na 1.947 1.947 1.947
Na 5.842 5.842 5.842
Tl 0.000 0.000 0.000
H 3.895 3.895 2.218
H 3.895 2.218 3.895
H 5.572 3.895 3.895
H 2.218 3.895 3.895
H 3.895 5.572 3.895
H 3.895 3.895 5.572
Ir 3.895 3.895 3.895
CELL_PARAMETERS angstrom
0.000 3.895 3.895
3.895 0.000 3.895
3.895 3.895 0.000
```

Properties
The magnetic moment is 0.0 μB/f.u. The calculated volume is 118 Å³/f.u. Its symmetry is Fm-3m, No. 225. The calculation puts the calculated total energy at -3.588 eV/atom.

***

Record 4
A relaxed structure of AgOsPd2, computed with GGA-PBE. Values from VASP.

```
&SYSTEM
  ibrav = 0, nat = 4, ntyp = 3
/
ATOMIC_SPECIES
Ag 107.87 Ag.upf
Os 190.23 Os.upf
Pd 106.42 Pd.upf
ATOMIC_POSITIONS angstrom
Ag 0.000 0.000 0.000
Os 4.717 4.717 4.717
Pd 1.572 1.572 1.572
Pd 3.145 3.145 3.145
CELL_PARAMETERS angstrom
0.000 3.145 3.145
3.145 0.000 3.145
3.145 3.145 0.000
```

Properties
The magnetic moment is 1.3 μB/f.u. The calculated volume is 62 Å³/f.u. Its symmetry is F-43m, No. 216. The calculation puts the calculated total energy at -5.492 eV/atom.